[1]
Entry from Alexandria via LeMat-Bulk: a relaxed Fe2NiI6 crystal (PBE).

E_form (uncorrected) ... -0.083 eV/atom
SG ... No. 15
Spin magnetization ... 10.034 μB per formula unit

abc: 7.245 10.608 10.608
angles: 91.72 73.71 73.71
Positions (direct):
Fe (0.140, 0.633, 0.797)
Fe (0.360, 0.203, 0.367)
Fe (0.860, 0.367, 0.203)
Fe (0.640, 0.797, 0.633)
Ni (0.250, 0.203, 0.797)
Ni (0.750, 0.797, 0.203)
I (0.336, 0.730, 0.592)
I (0.164, 0.408, 0.270)
I (0.664, 0.270, 0.408)
I (0.836, 0.592, 0.730)
I (0.864, 0.826, 0.407)
I (0.636, 0.593, 0.174)
I (0.136, 0.174, 0.593)
I (0.364, 0.407, 0.826)
I (0.050, 0.798, 0.003)
I (0.450, 0.997, 0.202)
I (0.950, 0.202, 0.997)
I (0.550, 0.003, 0.798)

=====

[2]
Entry from Alexandria via LeMat-Bulk: a relaxed FeNi2I8 crystal (PBE).

E_form (uncorrected) ... 0.076 eV/atom
SG ... No. 12
Spin magnetization ... 4.565 μB per formula unit

abc: 5.339 9.982 11.641
angles: 115.39 90.82 90.00
Positions (direct):
I (0.000, 0.910, 0.175)
I (0.000, 0.735, 0.825)
I (0.493, 0.797, 0.593)
I (0.507, 0.203, 0.407)
I (0.000, 0.265, 0.175)
I (0.000, 0.090, 0.825)
I (0.986, 0.702, 0.404)
I (0.014, 0.298, 0.596)
Ni (0.995, 0.822, 0.644)
Ni (0.005, 0.178, 0.356)
Fe (0.000, 0.000, 0.000)

=====

[3]
Entry from Alexandria via LeMat-Bulk: a relaxed FeNi2I6 crystal (PBE).

E_form (uncorrected) ... -0.060 eV/atom
SG ... No. 15
Spin magnetization ... 8.006 μB per formula unit

abc: 7.127 10.909 10.909
angles: 88.57 68.50 68.50
Positions (direct):
Fe (0.250, 0.789, 0.211)
Fe (0.750, 0.211, 0.789)
Ni (0.571, 0.353, 0.202)
Ni (0.929, 0.798, 0.647)
Ni (0.429, 0.647, 0.798)
Ni (0.071, 0.202, 0.353)
I (0.683, 0.246, 0.387)
I (0.817, 0.613, 0.754)
I (0.317, 0.754, 0.613)
I (0.183, 0.387, 0.246)
I (0.094, 0.191, 0.584)
I (0.406, 0.416, 0.809)
I (0.906, 0.809, 0.416)
I (0.594, 0.584, 0.191)
I (0.875, 0.213, 0.985)
I (0.625, 0.015, 0.787)
I (0.125, 0.787, 0.015)
I (0.375, 0.985, 0.213)

=====

[4]
Entry from Alexandria via LeMat-Bulk: a relaxed Fe3NiI9 crystal (PBE).

E_form (uncorrected) ... -0.080 eV/atom
SG ... No. 9
Spin magnetization ... 15.057 μB per formula unit

abc: 9.800 12.074 11.695
angles: 77.15 65.23 66.06
Positions (direct):
Fe (0.856, 0.524, 0.706)
Fe (0.914, 0.024, 0.206)
Fe (0.022, 0.963, 0.806)
Fe (0.210, 0.463, 0.306)
Fe (0.637, 0.230, 0.709)
Fe (0.424, 0.730, 0.209)
Ni (0.940, 0.624, 0.998)
Ni (0.438, 0.124, 0.498)
I (0.300, 0.229, 0.338)
I (0.133, 0.729, 0.838)
I (0.427, 0.276, 0.923)
I (0.374, 0.776, 0.423)
I (0.256, 0.045, 0.707)
I (0.992, 0.545, 0.207)
I (0.661, 0.790, 0.045)
I (0.505, 0.290, 0.545)
I (0.700, 0.950, 0.392)
I (0.957, 0.450, 0.892)
I (0.601, 0.701, 0.747)
I (0.951, 0.201, 0.247)
I (0.484, 0.501, 0.175)
I (0.839, 0.001, 0.675)
I (0.846, 0.344, 0.622)
I (0.187, 0.844, 0.122)
I (0.820, 0.082, 0.010)
I (0.087, 0.582, 0.510)

=====

[5]
Entry from Alexandria via LeMat-Bulk: a relaxed FeNiI3 crystal (PBE).

E_form (uncorrected) ... 0.681 eV/atom
Energy above the lowest structure with this stoichiometry ... 0.0000 eV per atom
SG ... No. 221
Spin magnetization ... 3.935 μB per formula unit

abc: 5.279 5.279 5.279
angles: 90.00 90.00 90.00
Positions (direct):
I (0.000, 0.500, 0.000)
I (0.000, 0.000, 0.500)
I (0.500, 0.000, 0.000)
Ni (0.000, 0.000, 0.000)
Fe (0.500, 0.500, 0.500)

=====

[6]
Entry from Alexandria via LeMat-Bulk: a relaxed FeNiI3 crystal (PBE).

E_form (uncorrected) ... 0.776 eV/atom
Energy above the lowest structure with this stoichiometry ... 0.0954 eV per atom
SG ... No. 221
Spin magnetization ... 4.675 μB per formula unit

abc: 5.439 5.439 5.439
angles: 90.00 90.00 90.00
Positions (direct):
I (0.000, 0.500, 0.000)
I (0.000, 0.000, 0.500)
I (0.500, 0.000, 0.000)
Ni (0.500, 0.500, 0.500)
Fe (0.000, 0.000, 0.000)

=====

[7]
Entry from Alexandria via LeMat-Bulk: a relaxed Fe3NiI12 crystal (PBE).

E_form (uncorrected) ... -0.035 eV/atom
SG ... No. 176
Spin magnetization ... 11.951 μB per formula unit

abc: 7.649 15.628 15.628
angles: 120.00 90.00 90.00
Positions (direct):
Fe (0.250, 0.859, 0.553)
Fe (0.250, 0.694, 0.141)
Fe (0.250, 0.447, 0.306)
Fe (0.750, 0.553, 0.694)
Fe (0.750, 0.306, 0.859)
Fe (0.750, 0.141, 0.447)
Ni (0.750, 0.667, 0.333)
Ni (0.250, 0.333, 0.667)
I (0.250, 0.936, 0.736)
I (0.750, 0.018, 0.505)
I (0.522, 0.748, 0.497)
I (0.978, 0.748, 0.497)
I (0.750, 0.495, 0.513)
I (0.978, 0.749, 0.252)
I (0.522, 0.749, 0.252)
I (0.250, 0.800, 0.064)
I (0.522, 0.503, 0.251)
I (0.978, 0.503, 0.251)
I (0.750, 0.736, 0.800)
I (0.250, 0.513, 0.018)
I (0.750, 0.487, 0.982)
I (0.250, 0.264, 0.200)
I (0.022, 0.497, 0.749)
I (0.478, 0.497, 0.749)
I (0.750, 0.200, 0.936)
I (0.478, 0.251, 0.748)
I (0.022, 0.251, 0.748)
I (0.250, 0.505, 0.487)
I (0.478, 0.252, 0.503)
I (0.022, 0.252, 0.503)
I (0.250, 0.982, 0.495)
I (0.750, 0.064, 0.264)

=====

[8]
Entry from Alexandria via LeMat-Bulk: a relaxed Pr6FeNi2I3 crystal (PBE).

E_form (uncorrected) ... -0.586 eV/atom
SG ... No. 12
Spin magnetization ... 0.000 μB per formula unit

abc: 7.148 7.148 8.510
angles: 98.05 98.05 120.00
Positions (direct):
Pr (0.939, 0.616, 0.816)
Pr (0.739, 0.739, 0.185)
Pr (0.061, 0.384, 0.184)
Pr (0.616, 0.939, 0.816)
Pr (0.261, 0.261, 0.815)
Pr (0.384, 0.061, 0.184)
Fe (0.000, 0.000, 0.000)
Ni (0.333, 0.667, 0.000)
Ni (0.667, 0.333, 0.000)
I (0.166, 0.834, 0.500)
I (0.834, 0.166, 0.500)
I (0.500, 0.500, 0.500)

=====

[9]
Entry from Alexandria via LeMat-Bulk: a relaxed Rb2FeNiI6 crystal (PBE).

E_form (uncorrected) ... -0.572 eV/atom
SG ... No. 139
Spin magnetization ... 2.675 μB per formula unit

abc: 7.954 7.954 7.941
angles: 59.94 59.94 90.00
Positions (direct):
I (0.250, 0.250, 0.500)
I (0.750, 0.750, 0.500)
I (0.247, 0.247, 0.000)
I (0.753, 0.753, 0.000)
I (0.753, 0.247, 0.000)
I (0.247, 0.753, 0.000)
Ni (0.000, 0.000, 0.000)
Fe (0.500, 0.500, 0.000)
Rb (0.750, 0.250, 0.500)
Rb (0.250, 0.750, 0.500)

=====

[10]
Entry from Alexandria via LeMat-Bulk: a relaxed FeNiSbI2 crystal (PBE).

E_form (uncorrected) ... 0.941 eV/atom
Energy above the lowest structure with this stoichiometry ... 0.1458 eV per atom
SG ... No. 123
Spin magnetization ... 1.813 μB per formula unit

abc: 5.355 5.355 4.878
angles: 90.00 90.00 90.00
Positions (direct):
I (0.000, 0.500, 0.000)
I (0.500, 0.000, 0.000)
Sb (0.000, 0.000, 0.500)
Fe (0.000, 0.000, 0.000)
Ni (0.500, 0.500, 0.500)

=====

[11]
Entry from Alexandria via LeMat-Bulk: a relaxed FeNiSb2I crystal (PBE).

E_form (uncorrected) ... 0.822 eV/atom
Energy above the lowest structure with this stoichiometry ... 0.0000 eV per atom
SG ... No. 123
Spin magnetization ... 2.806 μB per formula unit

abc: 4.925 4.925 5.363
angles: 90.00 90.00 90.00
Positions (direct):
I (0.000, 0.000, 0.500)
Sb (0.000, 0.500, 0.000)
Sb (0.500, 0.000, 0.000)
Fe (0.500, 0.500, 0.500)
Ni (0.000, 0.000, 0.000)

=====

[12]
Entry from Alexandria via LeMat-Bulk: a relaxed FeNiSbI2 crystal (PBE).

E_form (uncorrected) ... 0.796 eV/atom
Energy above the lowest structure with this stoichiometry ... 0.0000 eV per atom
SG ... No. 123
Spin magnetization ... 3.508 μB per formula unit

abc: 5.328 5.328 4.921
angles: 90.00 90.00 90.00
Positions (direct):
I (0.000, 0.500, 0.000)
I (0.500, 0.000, 0.000)
Sb (0.000, 0.000, 0.500)
Fe (0.500, 0.500, 0.500)
Ni (0.000, 0.000, 0.000)

=====

[13]
Entry from Alexandria via LeMat-Bulk: a relaxed Fe2TcNiI crystal (PBE).

E_form (uncorrected) ... 1.961 eV/atom
SG ... No. 123
Spin magnetization ... 7.428 μB per formula unit

abc: 4.600 4.920 4.600
angles: 90.00 90.00 90.00
Positions (direct):
I (0.000, 0.000, 0.000)
Ni (0.500, 0.500, 0.500)
Tc (0.000, 0.500, 0.000)
Fe (0.000, 0.000, 0.500)
Fe (0.500, 0.000, 0.000)

=====

[14]
Entry from Alexandria via LeMat-Bulk: a relaxed FeNiTe2I crystal (PBE).

E_form (uncorrected) ... 0.860 eV/atom
SG ... No. 123
Spin magnetization ... 3.926 μB per formula unit

abc: 4.978 4.978 5.637
angles: 90.00 90.00 90.00
Positions (direct):
I (0.000, 0.000, 0.500)
Ni (0.500, 0.500, 0.500)
Te (0.000, 0.500, 0.000)
Te (0.500, 0.000, 0.000)
Fe (0.000, 0.000, 0.000)

=====

[15]
Entry from Alexandria via LeMat-Bulk: a relaxed RbNpFe2I8 crystal (PBE).

E_form (uncorrected) ... -0.551 eV/atom
SG ... No. 12
Spin magnetization ... 4.000 μB per formula unit

abc: 7.477 7.477 10.810
angles: 85.08 85.08 69.31
Positions (direct):
Rb (0.000, 0.000, 0.500)
Np (0.000, 0.000, 0.000)
Fe (0.622, 0.622, 0.216)
Fe (0.378, 0.378, 0.784)
I (0.758, 0.267, 0.790)
I (0.749, 0.749, 0.005)
I (0.701, 0.701, 0.425)
I (0.299, 0.299, 0.575)
I (0.251, 0.251, 0.995)
I (0.267, 0.758, 0.790)
I (0.733, 0.242, 0.210)
I (0.242, 0.733, 0.210)